No. 1
# CoSiTcW | OQMD | PBE | relaxed
data_CoSiTcW
_chemical_formula_sum 'Co4 Si4 Tc4 W4'
_cell_length_a 5.9938
_cell_length_b 5.9938
_cell_length_c 5.9938
_cell_angle_alpha 90.00
_cell_angle_beta 90.00
_cell_angle_gamma 90.00
_space_group_name_H-M_alt 'F -4 3 m'
_space_group_IT_number 216
_space_group_name_Hall 'F -4 2 3'
loop_
_atom_site_label
_atom_site_fract_x
_atom_site_fract_y
_atom_site_fract_z
_atom_site_occupancy
Co1 0.0000 0.0000 0.0000 1
Si1 0.2500 0.2500 0.7500 1
Tc1 0.0000 0.0000 0.5000 1
W1 0.2500 0.2500 0.2500 1
# - VASP energy: -145.2 eV per cell



No. 2
# NaLaCdO3 | OQMD | PBE | relaxed
data_NaLaCdO3
_chemical_formula_sum 'Na4 La4 Cd4 O12'
_cell_length_a 3.8380
_cell_length_b 11.6939
_cell_length_c 9.3541
_cell_angle_alpha 90.00
_cell_angle_beta 90.00
_cell_angle_gamma 90.00
_space_group_name_H-M_alt 'C m c m'
_space_group_IT_number 63
_space_group_name_Hall '-C 2c 2'
loop_
_atom_site_label
_atom_site_fract_x
_atom_site_fract_y
_atom_site_fract_z
_atom_site_occupancy
Na1 0.0000 0.1548 0.2500 1
La1 0.0000 0.5000 0.0000 1
Cd1 0.0000 0.1226 0.7500 1
O1 0.0000 0.1266 0.5313 1
O2 0.0000 0.4673 0.7500 1
# - VASP energy: -133.7 eV per cell



No. 3
# Y5Tm3Te | OQMD | PBE | relaxed
data_Y5Tm3Te
_chemical_formula_sum 'Y5 Tm3 Te1'
_cell_length_a 9.2121
_cell_length_b 9.2121
_cell_length_c 3.7606
_cell_angle_alpha 90.00
_cell_angle_beta 90.00
_cell_angle_gamma 120.00
_space_group_name_H-M_alt 'P -6 2 m'
_space_group_IT_number 189
_space_group_name_Hall 'P -6 -2'
loop_
_atom_site_label
_atom_site_fract_x
_atom_site_fract_y
_atom_site_fract_z
_atom_site_occupancy
Y1 0.0000 0.2739 0.0000 1
Y2 0.3333 0.6667 0.0000 1
Tm1 0.0000 0.6160 0.5000 1
Te1 0.0000 0.0000 0.5000 1
# - VASP energy: -51.5 eV per cell



No. 4
# AgHOF | OQMD | PBE | relaxed
data_AgHOF
_chemical_formula_sum 'Ag4 H4 O4 F4'
_cell_length_a 5.2186
_cell_length_b 6.7926
_cell_length_c 5.7288
_cell_angle_alpha 90.00
_cell_angle_beta 114.72
_cell_angle_gamma 90.00
_space_group_name_H-M_alt 'P 1 21/c 1'
_space_group_IT_number 14
_space_group_name_Hall '-P 2ybc'
loop_
_atom_site_label
_atom_site_fract_x
_atom_site_fract_y
_atom_site_fract_z
_atom_site_occupancy
Ag1 0.0170 0.1237 0.2658 1
H1 0.3940 0.6325 0.7327 1
O1 0.1747 0.6291 0.6501 1
F1 0.3135 0.1159 0.6676 1
# - VASP energy: -65.6 eV per cell



No. 5
# LuNiHgGe | OQMD | PBE | relaxed
data_LuNiHgGe
_chemical_formula_sum 'Lu4 Ni4 Hg4 Ge4'
_cell_length_a 6.6904
_cell_length_b 6.6904
_cell_length_c 6.6904
_cell_angle_alpha 90.00
_cell_angle_beta 90.00
_cell_angle_gamma 90.00
_space_group_name_H-M_alt 'F -4 3 m'
_space_group_IT_number 216
_space_group_name_Hall 'F -4 2 3'
loop_
_atom_site_label
_atom_site_fract_x
_atom_site_fract_y
_atom_site_fract_z
_atom_site_occupancy
Lu1 0.0000 0.0000 0.0000 1
Ni1 0.2500 0.2500 0.7500 1
Hg1 0.2500 0.2500 0.2500 1
Ge1 0.0000 0.0000 0.5000 1
# - VASP energy: -62.5 eV per cell



No. 6
# BaPr2O4 | OQMD | PBE | relaxed
data_BaPr2O4
_chemical_formula_sum 'Ba4 Pr8 O16'
_cell_length_a 10.5891
_cell_length_b 3.6534
_cell_length_c 12.5518
_cell_angle_alpha 90.00
_cell_angle_beta 90.00
_cell_angle_gamma 90.00
_space_group_name_H-M_alt 'P n m a'
_space_group_IT_number 62
_space_group_name_Hall '-P 2ac 2n'
loop_
_atom_site_label
_atom_site_fract_x
_atom_site_fract_y
_atom_site_fract_z
_atom_site_occupancy
Ba1 0.2478 0.2500 0.1465 1
Pr1 0.0709 0.7500 0.3853 1
Pr2 0.0876 0.7500 0.8907 1
O1 0.0053 0.2500 0.2828 1
O2 0.0676 0.7500 0.0791 1
O3 0.1282 0.2500 0.5145 1
O4 0.2163 0.2500 0.8256 1
# - VASP energy: -211.3 eV per cell



No. 7
# TbTmGeF2 | OQMD | PBE | relaxed
data_TbTmGeF2
_chemical_formula_sum 'Tb1 Tm1 Ge1 F2'
_cell_length_a 3.9724
_cell_length_b 3.9724
_cell_length_c 6.5540
_cell_angle_alpha 90.00
_cell_angle_beta 90.00
_cell_angle_gamma 120.00
_space_group_name_H-M_alt 'P 3 m 1'
_space_group_IT_number 156
_space_group_name_Hall 'P 3 -2"'
loop_
_atom_site_label
_atom_site_fract_x
_atom_site_fract_y
_atom_site_fract_z
_atom_site_occupancy
Tb1 0.0000 0.0000 0.0000 1
Tm1 0.3333 0.6667 0.5087 1
Ge1 0.6667 0.3333 0.7511 1
F1 0.0000 0.0000 0.3616 1
F2 0.3333 0.6667 0.1604 1
# - VASP energy: -29.7 eV per cell



No. 8
# YMgIn4Pd2 | OQMD | PBE | relaxed
data_YMgIn4Pd2
_chemical_formula_sum 'Y2 Mg2 In8 Pd4'
_cell_length_a 7.8018
_cell_length_b 4.4011
_cell_length_c 10.2828
_cell_angle_alpha 90.00
_cell_angle_beta 90.00
_cell_angle_gamma 90.00
_space_group_name_H-M_alt 'A m m 2'
_space_group_IT_number 38
_space_group_name_Hall 'A 2 -2'
loop_
_atom_site_label
_atom_site_fract_x
_atom_site_fract_y
_atom_site_fract_z
_atom_site_occupancy
Y1 0.0000 0.0000 0.0000 1
Mg1 0.5000 0.0000 0.1341 1
In1 0.2046 0.0000 0.7079 1
In2 0.3044 0.0000 0.4266 1
Pd1 0.0000 0.0000 0.2873 1
Pd2 0.5000 0.0000 0.8563 1
# - VASP energy: -66.8 eV per cell



No. 9
# Co3Bi2 | OQMD | PBE | relaxed
data_Co3Bi2
_chemical_formula_sum 'Co18 Bi12'
_cell_length_a 6.5241
_cell_length_b 6.5241
_cell_length_c 15.9086
_cell_angle_alpha 90.00
_cell_angle_beta 90.00
_cell_angle_gamma 120.00
_space_group_name_H-M_alt 'R -3 c'
_space_group_IT_number 167
_space_group_name_Hall '-R 3 2"c'
loop_
_atom_site_label
_atom_site_fract_x
_atom_site_fract_y
_atom_site_fract_z
_atom_site_occupancy
Co1 0.0000 0.2158 0.2500 1
Bi1 0.0000 0.0000 0.1051 1
# - VASP energy: -157.3 eV per cell



No. 10
# Tm2Sn2As3P | OQMD | PBE | relaxed
data_Tm2Sn2As3P
_chemical_formula_sum 'Tm4 Sn4 As6 P2'
_cell_length_a 14.2032
_cell_length_b 6.3664
_cell_length_c 6.2809
_cell_angle_alpha 90.00
_cell_angle_beta 115.73
_cell_angle_gamma 90.00
_space_group_name_H-M_alt 'C 1 2 1'
_space_group_IT_number 5
_space_group_name_Hall 'C 2y'
loop_
_atom_site_label
_atom_site_fract_x
_atom_site_fract_y
_atom_site_fract_z
_atom_site_occupancy
Tm1 0.1213 0.0000 0.3641 1
Sn1 0.1230 0.4878 0.8778 1
As1 0.0000 0.7402 0.5000 1
As2 0.2500 0.2408 0.7503 1
P1 0.0000 0.2472 0.0000 1
# - VASP energy: -79.1 eV per cell



No. 11
# TaInAgTeS2 | OQMD | PBE | relaxed
data_TaInAgTeS2
_chemical_formula_sum 'Ta4 In4 Ag4 Te4 S8'
_cell_length_a 3.5317
_cell_length_b 15.6392
_cell_length_c 10.6851
_cell_angle_alpha 90.00
_cell_angle_beta 90.00
_cell_angle_gamma 90.00
_space_group_name_H-M_alt 'C m c m'
_space_group_IT_number 63
_space_group_name_Hall '-C 2c 2'
loop_
_atom_site_label
_atom_site_fract_x
_atom_site_fract_y
_atom_site_fract_z
_atom_site_occupancy
Ta1 0.0000 0.0000 0.0000 1
In1 0.0000 0.2381 0.2500 1
Ag1 0.0000 0.4333 0.7500 1
Te1 0.0000 0.0801 0.7500 1
S1 0.0000 0.3892 0.5287 1
# - VASP energy: -122.8 eV per cell



No. 12
# CsTcAgSe3 | OQMD | PBE | relaxed
data_CsTcAgSe3
_chemical_formula_sum 'Cs2 Tc2 Ag2 Se6'
_cell_length_a 8.8819
_cell_length_b 3.9182
_cell_length_c 10.4255
_cell_angle_alpha 90.00
_cell_angle_beta 114.47
_cell_angle_gamma 90.00
_space_group_name_H-M_alt 'P 1 21/m 1'
_space_group_IT_number 11
_space_group_name_Hall '-P 2yb'
loop_
_atom_site_label
_atom_site_fract_x
_atom_site_fract_y
_atom_site_fract_z
_atom_site_occupancy
Cs1 0.2478 0.2500 0.2783 1
Tc1 0.3218 0.7500 0.8524 1
Ag1 0.0676 0.2500 0.6075 1
Se1 0.1375 0.2500 0.8758 1
Se2 0.2667 0.7500 0.5889 1
Se3 0.4725 0.7500 0.1225 1
# - VASP energy: -54.0 eV per cell